## Eu2Mn2O7 (PBE+U)

Data for Eu2Mn2O7 after structural relaxation.

Summary:
Crystal system: cubic
E in eV for the cell shown: -742.03
Total magnetic moment in μB/cell: 144.00

abc: 10.1874 10.1874 10.1874
angles: 90.00 90.00 90.00
Closest atoms and distances in Å follow each position.
Space group Fd-3m (No. 227, origin choice 2)
One atom of each set of equivalent atoms:
Eu: 0.0000 0.0000 0.0000  2 O 2.21
Mn: 0.0000 0.0000 0.5000  6 O 1.96
O: 0.0767 0.3750 0.8750  2 Mn 1.96
O: 0.1250 0.1250 0.1250  4 Eu 2.21